[1]
Material: K2Pu2Br7
Method: DFT, PBE-GGA
State: optimized geometry

Calculated values
formation energy (no corrections) = -1.5935 eV per atom
energy = -5.4634 eV/atom
DOS(E_F) = 50.0 states/eV/cell
spin magnetization = 11.0 μB/f.u.

abc: 9.541 11.009 7.754
angles: 90.00 90.00 90.00
Space group Cmmm (No. 65)
One atom of each set of equivalent atoms:
1 K 0.245 0.000 0.000 (multiplicity 4)
2 Pu 0.000 0.278 0.500 (multiplicity 4)
3 Br 0.000 0.000 0.500 (multiplicity 2)
4 Br 0.000 0.500 0.273 (multiplicity 4)
5 Br 0.250 0.250 0.259 (multiplicity 8)

---

[2]
Material: K3PuBr8
Method: DFT, PBE-GGA
State: optimized geometry

Calculated values
formation energy (no corrections) = -1.3272 eV per atom
energy = -3.9111 eV/atom
E above lowest polymorph = 39.0 meV/atom
DOS(E_F) = 30.0 states/eV/cell
spin magnetization = 3.1 μB/f.u.

abc: 7.632 7.632 14.934
angles: 90.00 90.00 90.00
Space group I4/mmm (No. 139)
One atom of each set of equivalent atoms:
1 K 0.000 0.000 0.000 (multiplicity 2)
2 K 0.000 0.500 0.250 (multiplicity 4)
3 Pu 0.000 0.000 0.500 (multiplicity 2)
4 Br 0.224 0.224 0.386 (multiplicity 16)